# Tl3Au

A relaxed Tl3Au crystal (PBE, Alexandria).

Structure (extended XYZ):
```
4
Lattice="-0.3705 -5.4004 2.3031 4.4996 -3.3080 -1.8483 -0.2404 5.3573 2.4181" Properties=species:S:1:pos:R:3 pbc="T T T"
Tl 0.7269 -2.1986 2.4743
Tl 2.0646 -4.3542 0.2274
Au 0.0000 0.0000 0.0000
Tl 3.1619 -1.1525 0.3986
```

Computed properties:
The value obtained for the formation energy from the elements is 55 meV/atom. For the energy above the most stable polymorph in this dataset, the calculation gives 86.1 meV per atom. Its space-group type is No. 139. As for the spin magnetization: 0.000 μB per cell.

=====

# TlAu4

A relaxed TlAu4 crystal (PBE, Alexandria).

Structure (extended XYZ):
```
5
Lattice="5.2432 0.0000 0.0000 0.0000 5.2432 0.0000 0.0000 0.0000 5.2432" Properties=species:S:1:pos:R:3 pbc="T T T"
Au 0.0000 0.0000 0.0000
Au 0.0000 2.6216 2.6216
Au 2.6216 2.6216 0.0000
Au 2.6216 0.0000 2.6216
Tl 2.6216 2.6216 2.6216
```

Computed properties:
The value obtained for the formation energy from the elements is 925 meV/atom. For the energy above the most stable polymorph in this dataset, the calculation gives 894.1 meV per atom. Its space-group type is No. 221. As for the spin magnetization: 0.000 μB per cell.